Entry 1:
Compound: CePuMn4
Source: Alexandria
Functional: PBE
Structure: optimized geometry

Geometry as POSCAR:
```
CePuMn4
1.0
5.102 0.000 0.000
2.551 4.419 0.000
2.551 1.473 4.166
Ce Mn Pu
1 4 1
Cartesian
2.551 1.473 1.041
5.102 1.468 2.605
6.382 3.685 2.605
3.823 3.685 2.605
5.102 2.946 0.516
0.000 0.000 0.000
```

Summary:
* symmetry: F-43m (216)
* uncorrected energy: -9.46 eV/atom
* D(E_F): 1.4645 states/eV/atom
* DFT formation energy: 0.030 eV/atom


Entry 2:
Compound: CePuMnRh
Source: Alexandria
Functional: PBE
Structure: optimized geometry

Geometry as POSCAR:
```
CePuMnRh
1.0
-0.660 -3.705 2.868
3.707 -2.054 2.103
0.637 0.475 4.664
Pu Ce Rh Mn
1 1 1 1
Cartesian
0.000 0.000 0.000
0.921 -1.321 2.409
2.763 -3.963 7.226
1.842 -2.642 4.817
```

Summary:
* symmetry: F-43m (216)
* uncorrected energy: -9.33 eV/atom
* D(E_F): 2.5978 states/eV/atom
* DFT formation energy: -0.129 eV/atom